First-principles (PBE) data for a geometry-optimized Pa5Bi4C structure, as listed in Alexandria.

```
data_Pa5Bi4C
_chemical_formula_sum 'Pa10 Bi8 C2'
_symmetry_space_group_name_H-M 'I 4'
_symmetry_Int_Tables_number 79
_cell_length_a 9.576
_cell_length_b 9.576
_cell_length_c 6.123
_cell_angle_alpha 90.00
_cell_angle_beta 90.00
_cell_angle_gamma 90.00
loop_
_symmetry_equiv_pos_as_xyz
'x,y,z'
'-y,x,z'
'-x,-y,z'
'y,-x,z'
'x+1/2,y+1/2,z+1/2'
'-y+1/2,x+1/2,z+1/2'
'-x+1/2,-y+1/2,z+1/2'
'y+1/2,-x+1/2,z+1/2'
loop_
_atom_site_label
_atom_site_fract_x
_atom_site_fract_y
_atom_site_fract_z
Pa1 0.000 0.000 0.000
Pa2 0.093 0.765 0.553
Bi1 0.075 0.682 0.053
C1 0.000 0.000 0.551
```

Computed properties:
- ΔE_f (eV/atom) = -0.049
- crystal system = tetragonal



First-principles (PBE) data for a geometry-optimized LaThSe2 structure, as listed in Alexandria.

```
data_LaThSe2
_chemical_formula_sum 'La3 Th3 Se6'
_symmetry_space_group_name_H-M 'R 3 m'
_symmetry_Int_Tables_number 160
_symmetry_space_group_name_Hall 'R 3 -2"'
_cell_length_a 4.0751
_cell_length_b 4.0751
_cell_length_c 23.0765
_cell_angle_alpha 90.00
_cell_angle_beta 90.00
_cell_angle_gamma 120.00
loop_
_atom_site_label
_atom_site_fract_x
_atom_site_fract_y
_atom_site_fract_z
La1 0.0000 0.0000 0.0000
Th1 0.0000 0.0000 0.1725
Se1 0.0000 0.0000 0.4208
Se2 0.0000 0.0000 0.5851
```

Computed properties:
- energy relative to the elements, uncorrected (eV/atom) = -1.68
- ΔE to the lowest computed polymorph (meV/atom) = 82
- crystal system = trigonal



First-principles (PBE) data for a geometry-optimized Mg2CuPW structure, as listed in Alexandria.

```
data_Mg2CuPW
_chemical_formula_sum 'Mg2 Cu1 P1 W1'
_symmetry_space_group_name_H-M 'P 4/m m m'
_symmetry_Int_Tables_number 123
_symmetry_space_group_name_Hall '-P 4 2'
_cell_length_a 4.885
_cell_length_b 4.885
_cell_length_c 4.253
_cell_angle_alpha 90.00
_cell_angle_beta 90.00
_cell_angle_gamma 90.00
loop_
_atom_site_label
_atom_site_fract_x
_atom_site_fract_y
_atom_site_fract_z
Mg1 0.000 0.500 0.000
Cu1 0.000 0.000 0.500
P1 0.000 0.000 0.000
W1 0.500 0.500 0.500
```

Computed properties:
- ΔE_f (eV/atom) = 0.958
- crystal system = tetragonal



First-principles (PBE) data for a geometry-optimized Pr3Ni2 structure, as listed in Alexandria.

```
data_Pr3Ni2
_chemical_formula_sum 'Pr6 Ni4'
_symmetry_space_group_name_H-M 'I m m m'
_symmetry_Int_Tables_number 71
_symmetry_space_group_name_Hall '-I 2 2'
_cell_length_a 3.880
_cell_length_b 6.575
_cell_length_c 10.026
_cell_angle_alpha 90.00
_cell_angle_beta 90.00
_cell_angle_gamma 90.00
loop_
_atom_site_label
_atom_site_fract_x
_atom_site_fract_y
_atom_site_fract_z
Pr1 0.000 0.000 0.000
Pr2 0.000 0.500 0.187
Ni1 0.000 0.187 0.500
```

Computed properties:
- ΔE to the lowest computed polymorph (meV/atom) = 1
- ΔE_f (eV/atom) = -0.211
- crystal system = orthorhombic